one | Density functional theory data (PBE) for crystalline Ba2CdHPb at its relaxed geometry.

The density of states at the Fermi level is 2.3 states/eV per cell. Its crystal system is tetragonal. The volume is 151.7 Å³/f.u.

POSCAR file:
```
Ba2CdHPb
1.0
5.530 0.000 0.000
0.000 5.530 0.000
0.000 0.000 4.961
Ba Cd H Pb
2 1 1 1
Cartesian
0.000 2.765 0.000
2.765 0.000 0.000
0.000 0.000 2.480
0.000 0.000 0.000
2.765 2.765 2.480
```



two | Density functional theory data (PBE) for crystalline Ba2CdHPb at its relaxed geometry.

The density of states at the Fermi level is 1.5 states/eV per cell. Its crystal system is tetragonal. The volume is 158.8 Å³/f.u.

POSCAR file:
```
Ba2CdHPb
1.0
5.848 0.000 0.000
0.000 5.848 0.000
0.000 0.000 4.644
Ba Cd H Pb
2 1 1 1
Cartesian
0.000 2.924 0.000
2.924 0.000 0.000
0.000 0.000 2.322
2.924 2.924 0.000
2.924 2.924 2.322
```



In terms of stability, one leads; the second structure lies 54 meV/atom higher.



one | Density functional theory data (PBE) for crystalline Ba2CdHPd at its relaxed geometry.

The density of states at the Fermi level is 3.1 states/eV per cell. Its crystal system is tetragonal. The volume is 135.2 Å³/f.u.

POSCAR file:
```
Ba2CdHPd
1.0
5.898 0.000 0.000
0.000 5.898 0.000
0.000 0.000 3.887
Ba Cd H Pd
2 1 1 1
Cartesian
0.000 2.949 0.000
2.949 0.000 0.000
0.000 0.000 1.943
2.949 2.949 0.000
2.949 2.949 1.943
```



two | Density functional theory data (PBE) for crystalline Ba2CdHPd at its relaxed geometry.

The density of states at the Fermi level is 6.2 states/eV per cell. Its crystal system is monoclinic. The volume is 149.4 Å³/f.u.

POSCAR file:
```
Ba2CdHPd
1.0
7.493 0.000 0.000
0.000 4.572 0.000
-2.569 0.000 8.722
Ba Cd H Pd
4 2 2 2
Cartesian
0.595 1.143 3.554
-0.711 1.143 8.340
5.635 3.429 0.382
4.330 3.429 5.167
0.852 3.429 6.200
4.072 1.143 2.522
0.800 3.429 1.300
4.124 1.143 7.422
2.422 3.429 1.987
2.503 1.143 6.735
```



three | Density functional theory data (PBE) for crystalline Ba2CdHPd at its relaxed geometry.

The density of states at the Fermi level is 2.4 states/eV per cell. Its crystal system is tetragonal. The volume is 134.0 Å³/f.u.

POSCAR file:
```
Ba2CdHPd
1.0
5.488 0.000 0.000
0.000 5.488 0.000
0.000 0.000 4.448
Ba Cd H Pd
2 1 1 1
Cartesian
0.000 2.744 0.000
2.744 0.000 0.000
0.000 0.000 2.224
0.000 0.000 0.000
2.744 2.744 2.224
```



In terms of stability, two leads; the second structure lies 46 meV/atom higher.



one | Density functional theory data (PBE) for crystalline Ba2ZnCdH at its relaxed geometry.

The density of states at the Fermi level is 2.7 states/eV per cell. Its crystal system is tetragonal. The volume is 144.1 Å³/f.u.

POSCAR file:
```
Ba2ZnCdH
1.0
5.645 0.000 0.000
0.000 5.645 0.000
0.000 0.000 4.522
Ba Zn Cd H
2 1 1 1
Cartesian
0.000 2.823 0.000
2.823 0.000 0.000
0.000 0.000 2.261
2.823 2.823 2.261
2.823 2.823 0.000
```



two | Density functional theory data (PBE) for crystalline Ba2ZnCdH at its relaxed geometry.

The density of states at the Fermi level is 2.3 states/eV per cell. Its crystal system is tetragonal. The volume is 142.4 Å³/f.u.

POSCAR file:
```
Ba2ZnCdH
1.0
5.694 0.000 0.000
0.000 5.694 0.000
0.000 0.000 4.391
Ba Zn Cd H
2 1 1 1
Cartesian
0.000 2.847 0.000
2.847 0.000 0.000
0.000 0.000 2.195
2.847 2.847 2.195
0.000 0.000 0.000
```



In terms of stability, two leads; the second structure lies 20 meV/atom higher.



one | Density functional theory data (PBE) for crystalline BaHfCd3 at its relaxed geometry.

The density of states at the Fermi level is 7.4 states/eV per cell. Its crystal system is cubic. The volume is 176.3 Å³/f.u.

POSCAR file:
```
BaHfCd3
1.0
5.608 0.000 0.000
0.000 5.608 0.000
0.000 0.000 5.608
Ba Hf Cd
1 1 3
Cartesian
0.000 0.000 0.000
2.804 2.804 2.804
0.000 2.804 2.804
2.804 0.000 2.804
2.804 2.804 0.000
```



two | Density functional theory data (PBE) for crystalline BaHfCd3 at its relaxed geometry.

The density of states at the Fermi level is 5.9 states/eV per cell. Its crystal system is cubic. The volume is 217.3 Å³/f.u.

POSCAR file:
```
BaHfCd3
1.0
6.012 0.000 0.000
0.000 6.012 0.000
0.000 0.000 6.012
Ba Hf Cd
1 1 3
Cartesian
0.000 0.000 0.000
3.006 3.006 3.006
0.000 0.000 3.006
0.000 3.006 0.000
3.006 0.000 0.000
```



In terms of stability, one leads; the second structure lies 1118 meV/atom higher.



one | Density functional theory data (PBE) for crystalline BaHfCd at its relaxed geometry.

The density of states at the Fermi level is 6.1 states/eV per cell. Its crystal system is tetragonal. The volume is 90.5 Å³/f.u.

POSCAR file:
```
BaHfCd
1.0
3.519 0.000 0.000
0.000 3.519 0.000
0.000 0.000 14.615
Ba Hf Cd
2 2 2
Cartesian
0.000 0.000 0.000
0.000 0.000 5.344
0.000 0.000 10.192
1.760 1.760 8.388
1.760 1.760 2.676
1.760 1.760 12.009
```



two | Density functional theory data (PBE) for crystalline BaHfCd at its relaxed geometry.

The density of states at the Fermi level is 4.9 states/eV per cell. Its crystal system is monoclinic. The volume is 92.6 Å³/f.u.

POSCAR file:
```
BaHfCd
1.0
9.018 -1.729 0.000
9.018 1.729 0.000
-1.245 0.000 5.939
Ba Hf Cd
2 2 2
Cartesian
1.565 0.000 1.428
15.226 0.000 4.511
2.944 0.000 4.742
13.846 0.000 1.197
7.348 0.000 1.668
9.442 0.000 4.270
```



three | Density functional theory data (PBE) for crystalline BaHfCd at its relaxed geometry.

The density of states at the Fermi level is 5.0 states/eV per cell. Its crystal system is cubic. The volume is 107.3 Å³/f.u.

POSCAR file:
```
BaHfCd
1.0
0.000 3.771 3.771
3.771 0.000 3.771
3.771 3.771 0.000
Ba Hf Cd
1 1 1
Cartesian
0.000 0.000 0.000
3.771 3.771 3.771
5.657 5.657 5.657
```



In terms of stability, one leads; the second structure lies 164 meV/atom higher.



one | Density functional theory data (PBE) for crystalline BaCd3Hg2 at its relaxed geometry.

The density of states at the Fermi level is 7.2 states/eV per cell. Its crystal system is monoclinic. The volume is 171.3 Å³/f.u.

POSCAR file:
```
BaCd3Hg2
1.0
9.273 -2.289 0.000
9.273 2.289 0.000
-3.820 0.000 8.073
Ba Cd Hg
2 6 4
Cartesian
2.423 0.000 0.458
12.303 0.000 7.615
-0.641 0.000 3.225
3.708 0.000 4.405
6.331 0.000 2.603
8.395 0.000 5.470
11.018 0.000 3.668
15.367 0.000 4.848
1.051 0.000 5.876
5.656 0.000 6.640
9.070 0.000 1.433
13.675 0.000 2.197
```



two | Density functional theory data (PBE) for crystalline BaCd3Hg2 at its relaxed geometry.

The density of states at the Fermi level is 8.9 states/eV per cell. Its crystal system is hexagonal. The volume is 168.8 Å³/f.u.

POSCAR file:
```
BaCd3Hg2
1.0
10.882 0.000 0.000
-5.441 9.424 0.000
0.000 0.000 4.937
Ba Cd Hg
3 9 6
Cartesian
0.000 0.000 0.000
0.000 6.283 2.469
5.441 3.141 2.469
-1.556 2.696 2.469
-2.720 4.712 0.000
-3.884 6.728 2.469
3.113 0.000 2.469
1.556 2.696 2.469
5.441 0.000 0.000
2.720 4.712 0.000
7.769 0.000 2.469
3.884 6.728 2.469
0.000 3.680 0.000
-2.254 7.584 0.000
3.187 1.840 0.000
2.254 7.584 0.000
7.695 1.840 0.000
5.441 5.744 0.000
```



In terms of stability, one leads; the second structure lies 7 meV/atom higher.



one | Density functional theory data (PBE) for crystalline BaCd2Hg5 at its relaxed geometry.

The density of states at the Fermi level is 8.1 states/eV per cell. Its crystal system is tetragonal. The volume is 230.9 Å³/f.u.

POSCAR file:
```
BaCd2Hg5
1.0
-4.126 4.126 6.782
4.126 -4.126 6.782
4.126 4.126 -6.782
Ba Cd Hg
2 4 10
Cartesian
0.000 0.000 3.391
0.000 0.000 10.173
5.483 1.357 0.000
1.357 2.769 0.000
2.769 1.357 6.782
-1.357 2.769 6.782
0.000 0.000 0.000
5.227 -1.101 2.012
3.025 -1.101 4.770
3.025 1.101 2.012
5.227 1.101 4.770
0.000 0.000 6.782
-1.101 3.025 2.012
1.101 3.025 4.770
1.101 5.227 2.012
-1.101 5.227 4.770
```



two | Density functional theory data (PBE) for crystalline BaCd2Hg5 at its relaxed geometry.

The density of states at the Fermi level is 4.5 states/eV per cell. Its crystal system is orthorhombic. The volume is 226.1 Å³/f.u.

POSCAR file:
```
BaCd2Hg5
1.0
-2.295 4.056 6.074
2.295 -4.056 6.074
2.295 4.056 -6.074
Ba Cd Hg
1 2 5
Cartesian
0.000 0.000 0.000
2.295 0.000 3.102
0.000 4.056 2.972
2.295 2.456 -1.582
2.295 2.456 1.582
0.000 4.056 0.000
0.000 1.600 4.491
0.000 1.600 7.656
```



In terms of stability, two leads; the second structure lies 28 meV/atom higher.



one | Density functional theory data (PBE) for crystalline Ba3CdHg at its relaxed geometry.

The density of states at the Fermi level is 9.6 states/eV per cell. Its crystal system is orthorhombic. The volume is 215.1 Å³/f.u.

POSCAR file:
```
Ba3CdHg
1.0
3.018 -11.808 0.000
3.018 11.808 0.000
0.000 0.000 6.035
Ba Cd Hg
6 2 2
Cartesian
3.018 10.027 4.526
3.018 5.904 4.526
3.018 1.785 4.526
3.018 -1.785 1.509
3.018 -5.904 1.509
3.018 -10.027 1.509
3.018 8.070 1.509
3.018 -8.070 4.526
3.018 3.705 1.509
3.018 -3.705 4.526
```



two | Density functional theory data (PBE) for crystalline Ba3CdHg at its relaxed geometry.

The density of states at the Fermi level is 9.3 states/eV per cell. Its crystal system is cubic. The volume is 283.3 Å³/f.u.

POSCAR file:
```
Ba3CdHg
1.0
6.568 0.000 0.000
0.000 6.568 0.000
0.000 0.000 6.568
Ba Cd Hg
3 1 1
Cartesian
0.000 0.000 3.284
0.000 3.284 0.000
3.284 0.000 0.000
3.284 3.284 3.284
0.000 0.000 0.000
```



In terms of stability, one leads; the second structure lies 305 meV/atom higher.